# 1
The following is a DFT calculation (GGA-PBE) of a relaxed structure of Hf2ThZn.

Cell lengths 4.5336, 4.5336, 4.4224 Å; angles 90.00, 90.00, 90.00 degrees
Space group P4/mmm (No. 123)
One atom of each set of equivalent atoms:
1 Hf 0.0000 0.5000 0.0000 x2
2 Th 0.0000 0.0000 0.5000 x1
3 Zn 0.5000 0.5000 0.5000 x1

Output
Calculated density in Mg/m³: 11.96
ΔE_f in eV/atom: 0.048
Uncorrected energy in eV per formula unit: -28.407
Offset from the most stable computed form in meV per atom: 46
V in A^3/atom: 22.72


# 2
The following is a DFT calculation (GGA-PBE) of a relaxed structure of Re2Ni3.

Cell lengths 2.6673, 2.6673, 31.2822 Å; angles 90.00, 90.00, 120.00 degrees
Space group R-3m (No. 166, hexagonal axes)
One atom of each set of equivalent atoms:
1 Re 0.0000 0.0000 0.0989 x6
2 Ni 0.0000 0.0000 0.3014 x6
3 Ni 0.0000 0.0000 0.5000 x3

Output
Calculated density in Mg/m³: 14.18
ΔE_f in eV/atom: 0.150
Uncorrected energy in eV per formula unit: -41.492
Offset from the most stable computed form in meV per atom: 19
V in A^3/atom: 12.85


# 3
The following is a DFT calculation (GGA-PBE) of a relaxed structure of RbMn.

Cell lengths 10.5707, 10.5707, 10.5707 Å; angles 90.00, 90.00, 90.00 degrees
Space group Pm-3n (No. 223)
One atom of each set of equivalent atoms:
1 Rb 0.0000 0.2500 0.5000 x6
2 Mn 0.0000 0.5000 0.2500 x6

Output
Calculated density in Mg/m³: 1.18
ΔE_f in eV/atom: 1.658
Uncorrected energy in eV per formula unit: -6.822
Offset from the most stable computed form in meV per atom: 859
V in A^3/atom: 98.43


# 4
The following is a DFT calculation (GGA-PBE) of a relaxed structure of Ho6C2SCl3.

Cell lengths 6.4643, 11.2026, 7.0492 Å; angles 90.00, 107.79, 90.00 degrees
Space group C2/m (No. 12)
One atom of each set of equivalent atoms:
1 Ho 0.2078 0.0000 0.1908 x4
2 Ho 0.2414 0.3220 0.1905 x8
3 C 0.0000 0.1665 0.0000 x4
4 S 0.0000 0.5000 0.0000 x2
5 Cl 0.0000 0.0000 0.5000 x2
6 Cl 0.0000 0.3332 0.5000 x4

Output
Calculated density in Mg/m³: 7.87
Uncorrected energy in eV per formula unit: -70.889
V in A^3/atom: 20.25
Uncorrected formation energy in kJ per mole of atoms: -123


# 5
The following is a DFT calculation (GGA-PBE) of a relaxed structure of NbMoSe.

Cell lengths 5.3864, 3.3457, 6.4163 Å; angles 90.00, 114.45, 90.00 degrees
Space group Cm (No. 8)
One atom of each set of equivalent atoms:
1 Nb 0.0000 0.0000 0.0000 x2
2 Mo 0.1817 0.5000 0.3511 x2
3 Se 0.1661 0.0000 0.6677 x2

Output
Calculated density in Mg/m³: 8.45
Uncorrected energy in eV per formula unit: -24.879
Offset from the most stable computed form in meV per atom: 147
V in A^3/atom: 17.54
Uncorrected formation energy in kJ per mole of atoms: -16


Q: The lowest V belongs to which entry?
A: Re2Ni3


Q: Which value of calculated density does entry 1 give?
A: 11.96 Mg/m³